VASP calculation (GGA-PBE) on a relaxed structure of Na3InTe.

Offset from the most stable computed form = 0 meV per atom
Magnetic moment = 0.000 μB per formula unit
DFT total energy = -2.20 eV per atom

abc: 5.8775 5.8775 5.8775
angles: 90.00 90.00 90.00
Closest atoms and distances in Å follow each position.
Space group Pm-3m (No. 221)
Symmetry-distinct sites (fractional):
Na  0.0000  0.0000  0.5000 [3 per cell]  2 Te 2.94
In  0.5000  0.5000  0.5000 [1 per cell]  12 Na 4.16
Te  0.0000  0.0000  0.0000 [1 per cell]  6 Na 2.94


VASP calculation (GGA-PBE) on a relaxed structure of NaIn2Te.

Magnetic moment = 0.000 μB per formula unit
DFT total energy = -2.54 eV per atom

abc: 4.1408 4.1408 30.2875
angles: 90.00 90.00 120.00
Closest atoms and distances in Å follow each position.
Space group R-3m (No. 166, hexagonal axes)
Symmetry-distinct sites (fractional):
Na  0.0000  0.0000  0.0000 [3 per cell]  2 In 3.08
In  0.0000  0.0000  0.1017 [6 per cell]  1 Na 3.08, 3 Te 3.10
Te  0.0000  0.0000  0.5000 [3 per cell]  6 In 3.10


VASP calculation (GGA-PBE) on a relaxed structure of NaIn2Te2.

Offset from the most stable computed form = 0 meV per atom
Magnetic moment = 0.000 μB per formula unit
DFT total energy = -2.98 eV per atom

abc: 5.8425 5.8425 9.6147
angles: 90.00 90.00 90.00
Closest atoms and distances in Å follow each position.
Space group I4/mmm (No. 139)
Symmetry-distinct sites (fractional):
Na  0.0000  0.0000  0.0000 [2 per cell]  2 In 3.35
In  0.0000  0.0000  0.3486 [4 per cell]  1 In 2.91, 4 Te 3.07
Te  0.0000  0.5000  0.2500 [4 per cell]  4 In 3.07


VASP calculation (GGA-PBE) on a relaxed structure of Na5InTe4.

Magnetic moment = 0.000 μB per formula unit
DFT total energy = -3.00 eV per atom

abc: 7.4988 20.4603 17.7242
angles: 90.00 90.00 90.00
Closest atoms and distances in Å follow each position.
Space group Pbcn (No. 60)
Symmetry-distinct sites (fractional):
Na  0.0000  0.0000  0.0000 [4 per cell]  6 Te 3.33-3.52
Na  0.0000  0.1247  0.2500 [4 per cell]  6 Te 3.28-3.49
Na  0.0191  0.2336  0.0095 [8 per cell]  5 Te 3.14-3.50
Na  0.1673  0.4952  0.1690 [8 per cell]  4 Te 3.09-3.32
Na  0.1712  0.3804  0.4116 [8 per cell]  4 Te 3.07-3.22
Na  0.1747  0.2469  0.6759 [8 per cell]  4 Te 3.10-3.27
In  0.1319  0.3796  0.9138 [8 per cell]  4 Te 2.80-2.86
Te  0.2272  0.0113  0.3391 [8 per cell]  1 In 2.80, 2 Na 3.07-3.13
Te  0.2441  0.2390  0.3466 [8 per cell]  1 In 2.86, 2 Na 3.10-3.16
Te  0.2457  0.1273  0.5663 [8 per cell]  1 In 2.86, 2 Na 3.17
Te  0.2466  0.3756  0.5851 [8 per cell]  1 In 2.84, 4 Na 3.09-3.14


VASP calculation (GGA-PBE) on a relaxed structure of NaIn4Te7.

Magnetic moment = 0.001 μB per formula unit
DFT total energy = -3.19 eV per atom

abc: 16.3839 7.8561 7.2288
angles: 90.00 90.00 90.00
Closest atoms and distances in Å follow each position.
Space group Pmn2_1 (No. 31)
Symmetry-distinct sites (fractional):
Na  0.0000  0.0946  0.0000 [2 per cell]  3 Te 3.15-3.23
In  0.1252  0.3239  0.5323 [4 per cell]  4 Te 2.82-2.90
In  0.2382  0.8178  0.5141 [4 per cell]  4 Te 2.81-2.90
Te  0.0000  0.0900  0.4473 [2 per cell]  2 In 2.82
Te  0.1018  0.6466  0.3593 [4 per cell]  2 In 2.84-2.85
Te  0.1271  0.3857  0.9173 [4 per cell]  2 In 2.81-2.82, 1 Na 3.15
Te  0.2244  0.8375  0.9139 [4 per cell]  3 In 2.87-2.90


VASP calculation (GGA-PBE) on a relaxed structure of Na2In2Te.

Offset from the most stable computed form = 0 meV per atom
Magnetic moment = 0.000 μB per formula unit
DFT total energy = -2.44 eV per atom

abc: 8.0686 8.0686 4.7580
angles: 90.00 90.00 90.00
Closest atoms and distances in Å follow each position.
Space group P4/mbm (No. 127)
Symmetry-distinct sites (fractional):
Na  0.1714  0.3286  0.0000 [4 per cell]  6 In 3.27-3.43
In  0.1316  0.6316  0.5000 [4 per cell]  1 In 3.00, 2 Te 3.16, 2 Na 3.27
Te  0.0000  0.0000  0.5000 [2 per cell]  4 In 3.16


Question: Look up the magnetic moment of the first one.
Answer: 0.000 μB per formula unit